No. 1
VASP calculation (PBE) on crystalline ErTaCoOs at its relaxed geometry.

Summary:
formation enthalpy at 0 K	-180	meV per atom

Cell and atoms, written as POSCAR:
```
ErTaCoOs
1.0
-2.677 -0.155 3.703
-1.410 -4.030 1.634
1.663 -1.570 3.958
Co Er Os Ta
1 1 1 1
direct
0.250 0.250 0.250
0.000 0.000 0.000
0.750 0.750 0.750
0.500 0.500 0.500
```

No. 2
VASP calculation (PBE) on crystalline ErThCoOs at its relaxed geometry.

Summary:
formation enthalpy at 0 K	-227	meV per atom

Cell and atoms, written as POSCAR:
```
ErThCoOs
1.0
4.873 0.000 0.000
2.436 4.220 0.000
2.436 1.407 3.979
Co Os Th Er
1 1 1 1
direct
0.750 0.750 0.750
0.250 0.250 0.250
0.000 0.000 0.000
0.500 0.500 0.500
```

No. 3
VASP calculation (PBE) on crystalline ErTmCoOs at its relaxed geometry.

Summary:
formation enthalpy at 0 K	-202	meV per atom

Cell and atoms, written as POSCAR:
```
ErTmCoOs
1.0
-4.012 2.318 -0.908
-3.966 -1.162 2.282
-1.814 2.933 3.225
Co Tm Os Er
1 1 1 1
direct
0.750 0.750 0.750
0.500 0.500 0.500
0.250 0.250 0.250
0.000 0.000 0.000
```

No. 4
VASP calculation (PBE) on crystalline ErCo3P2 at its relaxed geometry.

Summary:
formation enthalpy at 0 K	-927	meV per atom

Cell and atoms, written as POSCAR:
```
ErCo3P2
1.0
-0.571 -0.179 3.588
6.487 -3.887 -1.006
2.304 8.723 0.801
Er Co P
3 9 6
direct
0.156 0.311 0.698
0.844 0.689 0.302
0.000 0.000 0.000
0.046 0.092 0.335
0.954 0.908 0.665
0.218 0.435 0.394
0.782 0.565 0.606
0.626 0.252 0.210
0.374 0.748 0.790
0.500 0.000 0.500
0.322 0.645 0.034
0.678 0.355 0.966
0.198 0.396 0.132
0.802 0.604 0.868
0.465 0.931 0.222
0.535 0.069 0.778
0.360 0.720 0.545
0.640 0.280 0.455
```

No. 5
VASP calculation (PBE) on crystalline ErCoP2 at its relaxed geometry.

Summary:
formation enthalpy at 0 K	-980	meV per atom

Cell and atoms, written as POSCAR:
```
ErCoP2
1.0
3.768 -0.001 0.001
-0.003 3.768 0.000
-1.883 -1.883 4.584
Er Co P
1 1 2
direct
0.221 0.881 0.228
0.472 0.631 0.728
0.850 0.510 0.486
0.592 0.252 0.970
```

No. 6
VASP calculation (PBE) on crystalline ErCo5P2 at its relaxed geometry.

Summary:
formation enthalpy at 0 K	-652	meV per atom

Cell and atoms, written as POSCAR:
```
ErCo5P2
1.0
-0.725 -3.038 1.700
3.981 -0.785 4.013
-1.930 1.296 5.213
Er Co P
1 5 2
direct
0.000 0.000 0.000
0.000 0.500 0.500
0.649 0.542 0.159
0.351 0.458 0.841
0.351 0.841 0.458
0.649 0.159 0.542
0.755 0.745 0.745
0.245 0.255 0.255
```

No. 7
VASP calculation (PBE) on crystalline ErCoP at its relaxed geometry.

Summary:
formation enthalpy at 0 K	-655	meV per atom

Cell and atoms, written as POSCAR:
```
ErCoP
1.0
-2.988 -0.338 -4.533
2.681 -2.317 1.670
-3.917 -5.786 3.013
P Co Er
2 2 2
direct
0.143 0.286 0.714
0.857 0.714 0.286
0.201 0.403 0.000
0.799 0.597 0.000
0.340 0.681 0.319
0.660 0.319 0.681
```

No. 8
VASP calculation (PBE) on crystalline Er5Co19P12 at its relaxed geometry.

Summary:
formation enthalpy at 0 K	-899	meV per atom

Cell and atoms, written as POSCAR:
```
Er5Co19P12
1.0
-0.917 -8.662 -8.186
3.025 -2.699 11.244
-3.532 -0.427 0.848
Er Co P
5 19 12
direct
0.333 0.667 0.000
0.667 0.333 0.000
0.000 0.187 0.500
0.813 0.813 0.500
0.187 0.000 0.500
0.623 0.822 0.000
0.178 0.801 0.000
0.199 0.377 0.000
0.377 0.199 0.000
0.822 0.623 0.000
0.801 0.178 0.000
0.000 0.552 0.000
0.448 0.448 0.000
0.552 0.000 0.000
0.516 0.642 0.500
0.358 0.874 0.500
0.126 0.484 0.500
0.484 0.126 0.500
0.642 0.516 0.500
0.874 0.358 0.500
0.000 0.715 0.500
0.285 0.285 0.500
0.715 0.000 0.500
0.000 0.000 0.000
0.000 0.368 0.000
0.632 0.632 0.000
0.368 0.000 0.000
0.520 0.834 0.500
0.166 0.686 0.500
0.314 0.480 0.500
0.480 0.314 0.500
0.834 0.520 0.500
0.686 0.166 0.500
0.000 0.820 0.000
0.180 0.180 0.000
0.820 0.000 0.000
```